Density functional theory data (GGA-PBE) for La3SbPb after structural relaxation.

Unit cell a=5.9744 b=5.9744 c=5.9744 alpha=90.00 beta=90.00 gamma=90.00
Sites, in units of the cell vectors:
Sb1 0.0000 0.0000 0.0000
La1 0.0000 0.0000 0.5000
La2 0.0000 0.5000 0.0000
Pb1 0.5000 0.5000 0.5000
La3 0.5000 0.0000 0.0000

Calculated values
Energy above the lowest structure with this stoichiometry in eV/atom: 0.396
E in Ry/atom: -0.353
Formation energy without anion corrections in eV/atom: -0.286
V in Å³ per cell: 213.2
Symmetry: No. 221

Density functional theory data (GGA-PBE) for HoFeCo2 after structural relaxation.

Unit cell a=4.0081 b=4.0081 c=5.2264 alpha=67.45 beta=67.45 gamma=60.00
Sites, in units of the cell vectors:
Ho1 0.0000 0.0000 0.0000
Fe1 0.5000 0.5000 0.5000
Co1 0.8044 0.8044 0.5868
Co2 0.1956 0.1956 0.4132

Calculated values
Energy above the lowest structure with this stoichiometry in eV/atom: 0.000
Calculated formation energy in meV/atom: -79
E in Ry/atom: -0.507
V in Å³ per cell: 65.2
Symmetry: No. 166

Density functional theory data (GGA-PBE) for Rb4TbEr3Se8 after structural relaxation.

Unit cell a=8.4432 b=9.3622 c=8.4446 alpha=116.84 beta=119.99 gamma=90.00
Sites, in units of the cell vectors:
Se1 0.2331 0.6948 0.9621
Er1 0.5000 0.5000 0.5000
Se2 0.7313 0.6937 0.4627
Tb1 0.0000 0.5000 0.0000
Rb1 0.0000 0.0000 0.0000
Se3 0.2710 0.3052 0.0379
Er2 0.5000 0.5000 0.0000
Se4 0.7670 0.3052 0.5339
Se5 0.7669 0.3052 0.0379
Rb2 0.5000 0.0000 0.0000
Se6 0.2687 0.3063 0.5373
Rb3 0.5000 0.0000 0.5000
Se7 0.7290 0.6948 0.9621
Se8 0.2330 0.6948 0.4661
Rb4 0.0000 0.0000 0.5000
Er3 0.0000 0.5000 0.5000

Calculated values
E in Ry/atom: -0.357
Formation energy without anion corrections in eV/atom: -1.734
V in Å³ per cell: 493.4
Symmetry: No. 166

Density functional theory data (GGA-PBE) for LiEu2Er after structural relaxation.

Unit cell a=3.7873 b=3.7873 c=9.4396 alpha=90.00 beta=90.00 gamma=90.00
Sites, in units of the cell vectors:
Eu1 0.0000 0.0000 0.7700
Li1 0.5000 0.5000 0.0000
Er1 0.5000 0.5000 0.5000
Eu2 0.0000 0.0000 0.2300

Calculated values
Energy above the lowest structure with this stoichiometry in eV/atom: 0.000
Calculated formation energy in meV/atom: 107
E in Ry/atom: -0.489
V in Å³ per cell: 135.4
Symmetry: No. 123

Density functional theory data (GGA-PBE) for YTi2Be2 after structural relaxation.

Unit cell a=7.5868 b=7.5868 c=2.7891 alpha=90.00 beta=90.00 gamma=90.00
Sites, in units of the cell vectors:
Y1 0.5000 0.5000 0.0000
Be1 0.3263 0.1737 0.5000
Ti1 0.8802 0.6198 0.0000
Ti2 0.1198 0.3802 0.0000
Be2 0.1737 0.6737 0.5000
Be3 0.6737 0.8263 0.5000
Ti3 0.6198 0.1198 0.0000
Be4 0.8263 0.3263 0.5000
Y2 0.0000 0.0000 0.0000
Ti4 0.3802 0.8802 0.0000

Calculated values
Energy above the lowest structure with this stoichiometry in eV/atom: 0.081
Calculated formation energy in meV/atom: 171
E in Ry/atom: -0.424
V in Å³ per cell: 160.5
Symmetry: No. 127

Density functional theory data (GGA-PBE) for Ho2Zn5Au3 after structural relaxation.

Unit cell a=5.6996 b=8.6960 c=8.6960 alpha=87.11 beta=70.87 gamma=70.87
Sites, in units of the cell vectors:
Ho1 0.1246 0.6344 0.1163
Zn1 0.1346 0.9999 0.7309
Zn2 0.9929 0.2571 0.2571
Au1 0.2500 0.0000 0.0000
Au2 0.7500 0.0000 0.0000
Ho2 0.3754 0.8837 0.3656
Zn3 0.5071 0.7429 0.7429
Zn4 0.0071 0.7429 0.7429
Au3 0.6196 0.5335 0.2274
Zn5 0.7500 0.5000 0.5000
Zn6 0.3654 0.2691 0.0001
Au4 0.8804 0.7726 0.4665
Zn7 0.4929 0.2571 0.2571
Au5 0.3804 0.4665 0.7726
Zn8 0.6346 0.7309 0.9999
Ho3 0.6246 0.1163 0.6344
Zn9 0.2500 0.5000 0.5000
Ho4 0.8754 0.3656 0.8837
Zn10 0.8654 0.0001 0.2691
Au6 0.1196 0.2274 0.5335

Calculated values
Energy above the lowest structure with this stoichiometry in eV/atom: 0.023
Calculated formation energy in meV/atom: -459
E in Ry/atom: -0.220
V in Å³ per cell: 383.9
Symmetry: No. 72

Density functional theory data (GGA-PBE) for MgZnB2Sb after structural relaxation.

Unit cell a=4.0752 b=5.7580 c=4.0752 alpha=90.00 beta=90.00 gamma=90.00
Sites, in units of the cell vectors:
B1 0.0000 0.0000 0.5000
Sb1 0.0000 0.5000 0.0000
Zn1 0.0000 0.0000 0.0000
Mg1 0.5000 0.5000 0.5000
B2 0.5000 0.0000 0.0000

Calculated values
E in Ry/atom: -0.209
Formation energy without anion corrections in eV/atom: 1.222
V in Å³ per cell: 95.6
Symmetry: No. 123

Density functional theory data (GGA-PBE) for AgTe2Rh after structural relaxation.

Unit cell a=3.2999 b=3.2999 c=8.6154 alpha=90.00 beta=90.00 gamma=90.00
Sites, in units of the cell vectors:
Te1 0.5000 0.5000 0.2998
Te2 0.0000 0.0000 0.9032
Rh1 0.5000 0.5000 0.7578
Ag1 0.0000 0.0000 0.5392

Calculated values
E in Ry/atom: -0.305
Formation energy without anion corrections in eV/atom: -0.035
V in Å³ per cell: 93.8
Symmetry: No. 99

Density functional theory data (GGA-PBE) for K2CrAs after structural relaxation.

Unit cell a=3.3910 b=3.3910 c=10.6112 alpha=90.00 beta=90.00 gamma=89.99
Sites, in units of the cell vectors:
K1 0.0000 0.0000 0.0320
As1 0.5000 0.5000 0.2500
K2 0.0000 0.0000 0.4680
Cr1 0.5000 0.5000 0.7500

Calculated values
Calculated formation energy in meV/atom: 538
E in Ry/atom: -0.263
V in Å³ per cell: 122.0
Symmetry: No. 123

Density functional theory data (GGA-PBE) for Ce5Ge2Ru2 after structural relaxation.

Unit cell a=7.6215 b=7.2868 c=9.5645 alpha=112.39 beta=113.48 gamma=90.00
Sites, in units of the cell vectors:
Ru1 0.7892 0.9449 0.5000
Ce1 0.7191 0.7458 0.0892
Ce2 0.3184 0.0543 0.3221
Ce3 0.8701 0.2458 0.0892
Ce4 0.9164 0.2418 0.5000
Ce5 0.5038 0.5543 0.3221
Ce6 0.0836 0.7418 0.5000
Ru2 0.0000 0.8744 0.0000
Ge1 0.8864 0.4637 0.8414
Ce7 0.1299 0.1566 0.9108
Ge2 0.5450 0.1223 0.1586
Ce8 0.2809 0.6566 0.9108
Ge3 0.4550 0.9637 0.8414
Ce9 0.4962 0.2322 0.6779
Ce10 0.6816 0.7322 0.6779
Ge4 0.1136 0.6223 0.1586
Ru3 0.2108 0.4449 0.5000
Ru4 0.5000 0.3744 0.0000

Calculated values
Calculated formation energy in meV/atom: -391
E in Ry/atom: -0.498
V in Å³ per cell: 443.2
Symmetry: No. 46

Density functional theory data (GGA-PBE) for OsAuBr after structural relaxation.

Unit cell a=3.6478 b=3.6478 c=6.1040 alpha=90.00 beta=90.00 gamma=120.00
Sites, in units of the cell vectors:
Os1 0.3333 0.6667 0.6491
Br1 0.6667 0.3333 0.4405
Au1 0.0000 0.0000 0.9104

Calculated values
Energy above the lowest structure with this stoichiometry in eV/atom: 0.000
E in Ry/atom: -0.335
Formation energy without anion corrections in eV/atom: 0.833
V in Å³ per cell: 70.3
Symmetry: No. 156

Density functional theory data (GGA-PBE) for Sc2HgPbI after structural relaxation.

Unit cell a=5.3689 b=6.0768 c=5.3689 alpha=90.00 beta=90.00 gamma=90.00
Sites, in units of the cell vectors:
I1 0.0000 0.5000 0.0000
Hg1 0.0000 0.0000 0.0000
Pb1 0.5000 0.5000 0.5000
Sc1 0.5000 0.0000 0.0000
Sc2 0.0000 0.0000 0.5000

Calculated values
E in Ry/atom: -0.233
Formation energy without anion corrections in eV/atom: 0.469
V in Å³ per cell: 175.2
Symmetry: No. 123

Density functional theory data (GGA-PBE) for Li2TlBr after structural relaxation.

Unit cell a=3.3871 b=3.3871 c=7.7425 alpha=90.00 beta=90.00 gamma=90.00
Sites, in units of the cell vectors:
Li1 0.0000 0.0000 0.5402
Br1 0.5000 0.5000 0.7500
Li2 0.0000 0.0000 0.9598
Tl1 0.5000 0.5000 0.2500

Calculated values
Energy above the lowest structure with this stoichiometry in eV/atom: 0.065
E in Ry/atom: -0.193
Formation energy without anion corrections in eV/atom: -0.661
V in Å³ per cell: 88.8
Symmetry: No. 123

Density functional theory data (GGA-PBE) for Sm2Dy3Ho8 after structural relaxation.

Unit cell a=5.5438 b=7.5850 c=10.9312 alpha=110.33 beta=90.01 gamma=90.00
Sites, in units of the cell vectors:
Ho1 0.9998 0.3363 0.6729
Dy1 0.0000 0.2865 0.0001
Ho2 0.5001 0.8200 0.2147
Ho3 0.4999 0.6051 0.7854
Ho4 0.9999 0.1302 0.2606
Ho5 0.0002 0.6637 0.3271
Sm1 0.4998 0.2408 0.4821
Sm2 0.5002 0.7592 0.5179
Dy2 0.5000 0.0000 0.0000
Ho6 0.0001 0.8698 0.7394
Ho7 0.4999 0.1800 0.7853
Dy3 0.0000 0.7135 0.9999
Ho8 0.5001 0.3949 0.2146

Calculated values
Calculated formation energy in meV/atom: 243
E in Ry/atom: -0.321
V in Å³ per cell: 431.0
Symmetry: No. 10

Density functional theory data (GGA-PBE) for Hf2MnIN after structural relaxation.

Unit cell a=4.2427 b=5.1273 c=4.2427 alpha=90.00 beta=90.00 gamma=90.00
Sites, in units of the cell vectors:
N1 0.0000 0.0000 0.0000
I1 0.0000 0.5000 0.0000
Mn1 0.5000 0.5000 0.5000
Hf1 0.0000 0.0000 0.5000
Hf2 0.5000 0.0000 0.0000

Calculated values
E in Ry/atom: -0.546
Formation energy without anion corrections in eV/atom: 0.368
V in Å³ per cell: 92.3
Symmetry: No. 123

Density functional theory data (GGA-PBE) for LaSnI6 after structural relaxation.

Unit cell a=7.7147 b=7.7126 c=8.3282 alpha=62.36 beta=62.35 gamma=59.93
Sites, in units of the cell vectors:
Sn1 0.0000 0.0000 0.0000
I1 0.0743 0.4139 0.7544
I2 0.4140 0.7569 0.7546
I3 0.2425 0.9255 0.2453
I4 0.9257 0.5861 0.2456
I5 0.7575 0.0745 0.7547
I6 0.5860 0.2431 0.2454
La1 0.5000 0.5000 0.5000

Calculated values
E in Ry/atom: -0.231
Formation energy without anion corrections in eV/atom: -0.858
V in Å³ per cell: 362.1
Symmetry: No. 2

Density functional theory data (GGA-PBE) for Li2BiOs after structural relaxation.

Unit cell a=7.6048 b=7.6048 c=5.9854 alpha=50.56 beta=50.56 gamma=90.00
Sites, in units of the cell vectors:
Os1 0.5000 0.5000 0.0000
Li1 0.5927 0.1250 0.2500
Li2 0.1573 0.6250 0.2500
Bi1 0.0000 0.0000 0.0000
Bi2 0.7500 0.2500 0.5000
Li3 0.8750 0.8427 0.7500
Os2 0.2500 0.7500 0.5000
Li4 0.3750 0.4073 0.7500

Calculated values
Calculated formation energy in meV/atom: 597
E in Ry/atom: -0.304
V in Å³ per cell: 152.0
Symmetry: No. 122

Density functional theory data (GGA-PBE) for CeSm3Tm12 after structural relaxation.

Unit cell a=4.9726 b=4.9726 c=19.8777 alpha=90.00 beta=90.00 gamma=90.00
Sites, in units of the cell vectors:
Ce1 0.0000 0.0000 0.0000
Tm1 0.0000 0.5000 0.1232
Tm2 0.5000 0.5000 0.0000
Tm3 0.5000 0.0000 0.6254
Tm4 0.5000 0.5000 0.7499
Tm5 0.5000 0.5000 0.2501
Tm6 0.5000 0.0000 0.8768
Tm7 0.5000 0.5000 0.5000
Tm8 0.5000 0.0000 0.3746
Tm9 0.0000 0.5000 0.8768
Sm1 0.0000 0.0000 0.5000
Sm2 0.0000 0.0000 0.7517
Tm10 0.0000 0.5000 0.3746
Sm3 0.0000 0.0000 0.2483
Tm11 0.0000 0.5000 0.6254
Tm12 0.5000 0.0000 0.1232

Calculated values
Calculated formation energy in meV/atom: 36
E in Ry/atom: -0.336
V in Å³ per cell: 491.5
Symmetry: No. 123

Density functional theory data (GGA-PBE) for BaNa2Bi after structural relaxation.

Unit cell a=3.7577 b=3.7577 c=13.5351 alpha=82.02 beta=82.02 gamma=60.00
Sites, in units of the cell vectors:
Bi1 0.0000 0.0000 0.0000
Na1 0.9217 0.9217 0.2348
Ba1 0.5000 0.5000 0.5000
Na2 0.0783 0.0783 0.7652

Calculated values
Calculated formation energy in meV/atom: 141
E in Ry/atom: -0.145
V in Å³ per cell: 163.4
Symmetry: No. 166

Density functional theory data (GGA-PBE) for Ni2WBr after structural relaxation.

Unit cell a=4.7121 b=4.7121 c=2.8619 alpha=90.08 beta=90.08 gamma=114.91
Sites, in units of the cell vectors:
Ni1 0.5000 0.5000 0.0000
Br1 0.0000 0.5000 0.5000
Ni2 0.0000 0.0000 0.0000
W1 0.5000 0.0000 0.5000

Calculated values
Energy above the lowest structure with this stoichiometry in eV/atom: 0.445
E in Ry/atom: -0.423
Formation energy without anion corrections in eV/atom: 0.798
V in Å³ per cell: 57.6
Symmetry: No. 12

Density functional theory data (GGA-PBE) for K2HPd after structural relaxation.

Unit cell a=7.5849 b=7.5849 c=6.7141 alpha=55.61 beta=55.61 gamma=90.00
Sites, in units of the cell vectors:
K1 0.1926 0.6250 0.2500
Pd1 0.7500 0.2500 0.5000
K2 0.3750 0.4426 0.7500
K3 0.5574 0.1250 0.2500
H1 0.5000 0.5000 0.0000
H2 0.2500 0.7500 0.5000
K4 0.8750 0.8074 0.7500
Pd2 0.0000 0.0000 0.0000

Calculated values
Energy above the lowest structure with this stoichiometry in eV/atom: 0.354
E in Ry/atom: -0.178
V in Å³ per cell: 232.4
Symmetry: No. 122

Density functional theory data (GGA-PBE) for NaSc2HgSb after structural relaxation.

Unit cell a=5.4437 b=5.7098 c=5.4437 alpha=90.00 beta=90.00 gamma=90.00
Sites, in units of the cell vectors:
Sb1 0.0000 0.0000 0.0000
Na1 0.5000 0.5000 0.5000
Sc1 0.5000 0.0000 0.0000
Sc2 0.0000 0.0000 0.5000
Hg1 0.0000 0.5000 0.0000

Calculated values
E in Ry/atom: -0.253
Formation energy without anion corrections in eV/atom: 0.241
V in Å³ per cell: 169.2
Symmetry: No. 123

Density functional theory data (GGA-PBE) for CaVBi3 after structural relaxation.

Unit cell a=5.3744 b=5.3744 c=5.3744 alpha=90.00 beta=90.00 gamma=90.00
Sites, in units of the cell vectors:
Ca1 0.5000 0.5000 0.5000
Bi1 0.0000 0.0000 0.5000
V1 0.0000 0.0000 0.0000
Bi2 0.0000 0.5000 0.0000
Bi3 0.5000 0.0000 0.0000

Calculated values
Energy above the lowest structure with this stoichiometry in eV/atom: 0.000
Calculated formation energy in meV/atom: 79
E in Ry/atom: -0.329
V in Å³ per cell: 155.2
Symmetry: No. 221

Density functional theory data (GGA-PBE) for YHgS2 after structural relaxation.

Unit cell a=8.5070 b=8.5070 c=8.5070 alpha=27.31 beta=27.31 gamma=27.31
Sites, in units of the cell vectors:
Y1 0.5000 0.5000 0.5000
S1 0.1070 0.1070 0.1070
Hg1 0.0000 0.0000 0.0000
S2 0.8930 0.8930 0.8930

Calculated values
E in Ry/atom: -0.361
Formation energy without anion corrections in eV/atom: -1.158
V in Å³ per cell: 114.3
Symmetry: No. 166

Density functional theory data (GGA-PBE) for NdSmTe after structural relaxation.

Unit cell a=3.9819 b=3.9819 c=6.5655 alpha=107.65 beta=107.65 gamma=90.00
Sites, in units of the cell vectors:
Sm1 0.3175 0.3175 0.6350
Nd1 0.0124 0.0124 0.0248
Te1 0.6701 0.6701 0.3402

Calculated values
Energy above the lowest structure with this stoichiometry in eV/atom: 0.090
E in Ry/atom: -0.367
Formation energy without anion corrections in eV/atom: -0.784
V in Å³ per cell: 94.0
Symmetry: No. 107